Ti2HgIF | GGA-PBE | relaxed

Cell: 5.102 5.102 4.756 Å, 90.00 90.00 90.00°
Fractional coordinates of all 5 atoms:
Ti (0.000, 0.500, 0.000)
Ti (0.500, 0.000, 0.000)
Hg (0.000, 0.000, 0.500)
I (0.500, 0.500, 0.000)
F (0.500, 0.500, 0.500)

Values from the calculation:
Its symmetry is P4/mmm (123). Its total energy is -3.579 eV/atom. The value obtained for the magnetization is 0.499 μB per atom.